No. 1
DFT (PBE-GGA) results for TmTcNi after structural relaxation.

Properties
Energy of formation ... 92.9 meV/atom
Magnetic moment ... 0.0 μB/f.u.
E ... -0.249 Ha/atom
Density of states at the Fermi level ... 2.515 states/eV/f.u.

The structure in CIF format:
```
data_TmTcNi
_space_group_name_H-M_alt 'F m m m'
_space_group_IT_number 69
_space_group_name_Hall '-F 2 2'
_cell_length_a 4.563
_cell_length_b 13.300
_cell_length_c 14.369
_cell_angle_alpha 90.00
_cell_angle_beta 90.00
_cell_angle_gamma 90.00
loop_
_atom_site_label
_atom_site_fract_x
_atom_site_fract_y
_atom_site_fract_z
Tm1 0.000 0.131 0.113
Tc1 0.000 0.000 0.293
Tc2 0.000 0.089 0.500
Ni1 0.000 0.183 0.303
```

***

No. 2
DFT (PBE-GGA) results for Tm12TcNi6 after structural relaxation.

Properties
Energy of formation ... -280.6 meV/atom
Magnetic moment ... 0.0 μB/f.u.
E ... -0.201 Ha/atom
Density of states at the Fermi level ... 24.596 states/eV/f.u.

The structure in CIF format:
```
data_Tm12TcNi6
_space_group_name_H-M_alt 'I m -3'
_space_group_IT_number 204
_space_group_name_Hall '-I 2 2 3'
_cell_length_a 9.411
_cell_length_b 9.411
_cell_length_c 9.411
_cell_angle_alpha 90.00
_cell_angle_beta 90.00
_cell_angle_gamma 90.00
loop_
_atom_site_label
_atom_site_fract_x
_atom_site_fract_y
_atom_site_fract_z
Tm1 0.000 0.182 0.294
Tc1 0.000 0.000 0.000
Ni1 0.000 0.373 0.500
```

***

No. 3
DFT (PBE-GGA) results for TmZrTcNi after structural relaxation.

Properties
Energy of formation ... -309.4 meV/atom
Magnetic moment ... 0.0 μB/f.u.
E ... -0.279 Ha/atom
Density of states at the Fermi level ... 2.693 states/eV/f.u.

The structure in CIF format:
```
data_TmZrTcNi
_space_group_name_H-M_alt 'F -4 3 m'
_space_group_IT_number 216
_space_group_name_Hall 'F -4 2 3'
_cell_length_a 6.606
_cell_length_b 6.606
_cell_length_c 6.606
_cell_angle_alpha 90.00
_cell_angle_beta 90.00
_cell_angle_gamma 90.00
loop_
_atom_site_label
_atom_site_fract_x
_atom_site_fract_y
_atom_site_fract_z
Tm1 0.000 0.000 0.000
Zr1 0.000 0.000 0.500
Tc1 0.250 0.250 0.750
Ni1 0.250 0.250 0.250
```

***

No. 4
DFT (PBE-GGA) results for UTcNi2 after structural relaxation.

Properties
Energy of formation ... 82.1 meV/atom
Magnetic moment ... 0.0 μB/f.u.
E ... -0.302 Ha/atom
Energy relative to the lowest polymorph listed for this composition ... 348 meV per atom
Density of states at the Fermi level ... 8.654 states/eV/f.u.

The structure in CIF format:
```
data_UTcNi2
_space_group_name_H-M_alt 'F m -3 m'
_space_group_IT_number 225
_space_group_name_Hall '-F 4 2 3'
_cell_length_a 6.212
_cell_length_b 6.212
_cell_length_c 6.212
_cell_angle_alpha 90.00
_cell_angle_beta 90.00
_cell_angle_gamma 90.00
loop_
_atom_site_label
_atom_site_fract_x
_atom_site_fract_y
_atom_site_fract_z
U1 0.000 0.000 0.000
Tc1 0.000 0.000 0.500
Ni1 0.250 0.250 0.250
```

***

No. 5
DFT (PBE-GGA) results for UTcNi2 after structural relaxation.

Properties
Energy of formation ... -266.0 meV/atom
Magnetic moment ... 0.0 μB/f.u.
E ... -0.315 Ha/atom
Energy relative to the lowest polymorph listed for this composition ... 0 meV per atom
Density of states at the Fermi level ... 4.257 states/eV/f.u.

The structure in CIF format:
```
data_UTcNi2
_space_group_name_H-M_alt 'P 4/m m m'
_space_group_IT_number 123
_space_group_name_Hall '-P 4 2'
_cell_length_a 3.818
_cell_length_b 3.818
_cell_length_c 4.017
_cell_angle_alpha 90.00
_cell_angle_beta 90.00
_cell_angle_gamma 90.00
loop_
_atom_site_label
_atom_site_fract_x
_atom_site_fract_y
_atom_site_fract_z
U1 0.000 0.000 0.000
Tc1 0.500 0.500 0.000
Ni1 0.000 0.500 0.500
```

***

No. 6
DFT (PBE-GGA) results for UZnTcNi after structural relaxation.

Properties
Energy of formation ... 9.3 meV/atom
Magnetic moment ... 1.3 μB/f.u.
E ... -0.263 Ha/atom
Density of states at the Fermi level ... 6.357 states/eV/f.u.

The structure in CIF format:
```
data_UZnTcNi
_space_group_name_H-M_alt 'F -4 3 m'
_space_group_IT_number 216
_space_group_name_Hall 'F -4 2 3'
_cell_length_a 6.366
_cell_length_b 6.366
_cell_length_c 6.366
_cell_angle_alpha 90.00
_cell_angle_beta 90.00
_cell_angle_gamma 90.00
loop_
_atom_site_label
_atom_site_fract_x
_atom_site_fract_y
_atom_site_fract_z
U1 0.000 0.000 0.000
Zn1 0.000 0.000 0.500
Tc1 0.250 0.250 0.250
Ni1 0.250 0.250 0.750
```

***

No. 7
DFT (PBE-GGA) results for ZrUTcNi after structural relaxation.

Properties
Energy of formation ... -109.2 meV/atom
Magnetic moment ... 2.1 μB/f.u.
E ... -0.335 Ha/atom
Density of states at the Fermi level ... 5.127 states/eV/f.u.

The structure in CIF format:
```
data_ZrUTcNi
_space_group_name_H-M_alt 'F -4 3 m'
_space_group_IT_number 216
_space_group_name_Hall 'F -4 2 3'
_cell_length_a 6.607
_cell_length_b 6.607
_cell_length_c 6.607
_cell_angle_alpha 90.00
_cell_angle_beta 90.00
_cell_angle_gamma 90.00
loop_
_atom_site_label
_atom_site_fract_x
_atom_site_fract_y
_atom_site_fract_z
Zr1 0.000 0.000 0.000
U1 0.000 0.000 0.500
Tc1 0.250 0.250 0.750
Ni1 0.250 0.250 0.250
```

***

No. 8
DFT (PBE-GGA) results for V2TcNi after structural relaxation.

Properties
Energy of formation ... 358.4 meV/atom
Magnetic moment ... 0.0 μB/f.u.
E ... -0.303 Ha/atom
Density of states at the Fermi level ... 5.381 states/eV/f.u.

The structure in CIF format:
```
data_V2TcNi
_space_group_name_H-M_alt 'I -4 2 d'
_space_group_IT_number 122
_space_group_name_Hall 'I -4 2bw'
_cell_length_a 6.591
_cell_length_b 6.591
_cell_length_c 5.128
_cell_angle_alpha 90.00
_cell_angle_beta 90.00
_cell_angle_gamma 90.00
loop_
_atom_site_label
_atom_site_fract_x
_atom_site_fract_y
_atom_site_fract_z
V1 0.242 0.250 0.125
Tc1 0.000 0.000 0.500
Ni1 0.000 0.000 0.000
```

***

No. 9
DFT (PBE-GGA) results for VTcNi after structural relaxation.

Properties
Energy of formation ... -72.3 meV/atom
Magnetic moment ... 0.0 μB/f.u.
E ... -0.312 Ha/atom
Energy relative to the lowest polymorph listed for this composition ... 0 meV per atom
Density of states at the Fermi level ... 3.174 states/eV/f.u.

The structure in CIF format:
```
data_VTcNi
_space_group_name_H-M_alt 'P 3 m 1'
_space_group_IT_number 156
_cell_length_a 4.2348
_cell_length_b 4.2348
_cell_length_c 2.5094
_cell_angle_alpha 90.00
_cell_angle_beta 90.00
_cell_angle_gamma 120.00
loop_
_space_group_symop_operation_xyz
'x,y,z'
'-y,x-y,z'
'-x+y,-x,z'
'-y,-x,z'
'-x+y,y,z'
'x,x-y,z'
loop_
_atom_site_label
_atom_site_fract_x
_atom_site_fract_y
_atom_site_fract_z
V1 0.0000 0.0000 0.0000
Tc1 0.6667 0.3333 0.3508
Ni1 0.3333 0.6667 0.8168
```

***

No. 10
DFT (PBE-GGA) results for V3TcNi after structural relaxation.

Properties
Energy of formation ... 1006.8 meV/atom
Magnetic moment ... 0.0 μB/f.u.
E ... -0.283 Ha/atom
Energy relative to the lowest polymorph listed for this composition ... 0 meV per atom
Density of states at the Fermi level ... 8.226 states/eV/f.u.

The structure in CIF format:
```
data_V3TcNi
_space_group_name_H-M_alt 'P m -3 m'
_space_group_IT_number 221
_space_group_name_Hall '-P 4 2 3'
_cell_length_a 4.272
_cell_length_b 4.272
_cell_length_c 4.272
_cell_angle_alpha 90.00
_cell_angle_beta 90.00
_cell_angle_gamma 90.00
loop_
_atom_site_label
_atom_site_fract_x
_atom_site_fract_y
_atom_site_fract_z
V1 0.000 0.000 0.500
Tc1 0.500 0.500 0.500
Ni1 0.000 0.000 0.000
```